Compound: Ac2Pm6Sc
Source: Alexandria via LeMat-Bulk
Functional: PBE
Structure: relaxed

a = 9.265 Å, b = 9.265 Å, c = 9.176 Å
α = 113.50°, β = 113.50°, γ = 67.14°
Fractional coordinates of all 18 atoms:
1 Ac 0.014 0.812 0.839
2 Ac 0.188 0.986 0.661
3 Ac 0.812 0.014 0.339
4 Ac 0.986 0.188 0.161
5 Pm 0.089 0.584 0.420
6 Pm 0.159 0.342 0.991
7 Pm 0.342 0.159 0.491
8 Pm 0.352 0.476 0.827
9 Pm 0.416 0.911 0.080
10 Pm 0.476 0.352 0.327
11 Pm 0.524 0.648 0.673
12 Pm 0.584 0.089 0.920
13 Pm 0.648 0.524 0.173
14 Pm 0.658 0.841 0.509
15 Pm 0.841 0.658 0.009
16 Pm 0.911 0.416 0.580
17 Sc 0.261 0.739 0.250
18 Sc 0.739 0.261 0.750

formation energy from the elements: 0.121 eV per atom
density: 7.13 Mg/m³

Compound: AcPm2Sc
Source: Alexandria via LeMat-Bulk
Functional: PBE
Structure: relaxed

a = 3.726 Å, b = 3.726 Å, c = 9.900 Å
α = 90.00°, β = 90.00°, γ = 90.00°
Fractional coordinates of all 4 atoms:
1 Ac 0.000 0.000 0.000
2 Pm 0.500 0.500 0.279
3 Pm 0.500 0.500 0.721
4 Sc 0.000 0.000 0.500

E above lowest polymorph: 7.8 meV per atom
formation energy from the elements: 0.078 eV per atom
density: 6.79 Mg/m³

Compound: AcPm2Sc
Source: Alexandria via LeMat-Bulk
Functional: PBE
Structure: relaxed

a = 5.094 Å, b = 5.094 Å, c = 5.228 Å
α = 90.00°, β = 90.00°, γ = 90.00°
Fractional coordinates of all 4 atoms:
1 Ac 0.000 0.000 0.000
2 Pm 0.000 0.500 0.500
3 Pm 0.500 0.000 0.500
4 Sc 0.500 0.500 0.000

E above lowest polymorph: 0.0 meV per atom
formation energy from the elements: 0.070 eV per atom
density: 6.88 Mg/m³

Compound: AcPm5Sc
Source: Alexandria via LeMat-Bulk
Functional: PBE
Structure: relaxed

a = 6.259 Å, b = 6.259 Å, c = 12.569 Å
α = 96.71°, β = 96.71°, γ = 87.96°
Fractional coordinates of all 14 atoms:
1 Ac 0.168 0.832 0.750
2 Ac 0.832 0.168 0.250
3 Pm 0.023 0.281 0.573
4 Pm 0.054 0.363 0.874
5 Pm 0.281 0.023 0.073
6 Pm 0.363 0.054 0.374
7 Pm 0.437 0.563 0.250
8 Pm 0.563 0.437 0.750
9 Pm 0.637 0.946 0.626
10 Pm 0.719 0.977 0.927
11 Pm 0.946 0.637 0.126
12 Pm 0.977 0.719 0.427
13 Sc 0.500 0.500 0.000
14 Sc 0.500 0.500 0.500

formation energy from the elements: 0.162 eV per atom
density: 6.82 Mg/m³

Compound: Ac3Pm12Sc
Source: Alexandria via LeMat-Bulk
Functional: PBE
Structure: relaxed

a = 5.226 Å, b = 5.226 Å, c = 20.805 Å
α = 90.00°, β = 90.00°, γ = 90.00°
Fractional coordinates of all 16 atoms:
1 Ac 0.000 0.000 0.000
2 Ac 0.000 0.000 0.255
3 Ac 0.000 0.000 0.745
4 Pm 0.000 0.500 0.128
5 Pm 0.000 0.500 0.384
6 Pm 0.000 0.500 0.616
7 Pm 0.000 0.500 0.872
8 Pm 0.500 0.000 0.128
9 Pm 0.500 0.000 0.384
10 Pm 0.500 0.000 0.616
11 Pm 0.500 0.000 0.872
12 Pm 0.500 0.500 0.000
13 Pm 0.500 0.500 0.257
14 Pm 0.500 0.500 0.500
15 Pm 0.500 0.500 0.743
16 Sc 0.000 0.000 0.500

formation energy from the elements: 0.039 eV per atom
density: 7.21 Mg/m³

Compound: Ac2PmSc
Source: Alexandria via LeMat-Bulk
Functional: PBE
Structure: relaxed

a = 8.368 Å, b = 8.368 Å, c = 8.368 Å
α = 90.00°, β = 90.00°, γ = 90.00°
Fractional coordinates of all 16 atoms:
1 Ac 0.250 0.250 0.250
2 Ac 0.250 0.250 0.750
3 Ac 0.250 0.750 0.250
4 Ac 0.250 0.750 0.750
5 Ac 0.750 0.250 0.250
6 Ac 0.750 0.250 0.750
7 Ac 0.750 0.750 0.250
8 Ac 0.750 0.750 0.750
9 Pm 0.000 0.000 0.000
10 Pm 0.000 0.500 0.500
11 Pm 0.500 0.000 0.500
12 Pm 0.500 0.500 0.000
13 Sc 0.000 0.000 0.500
14 Sc 0.000 0.500 0.000
15 Sc 0.500 0.000 0.000
16 Sc 0.500 0.500 0.500

E above lowest polymorph: 50.7 meV per atom
formation energy from the elements: 0.122 eV per atom
density: 7.30 Mg/m³